Rb3BaIn3I8: optimized geometry, PBE.

a b c (Å): 10.1770 10.1770 10.4199
angles (deg): 119.26 119.26 60.02
Last column: nearest neighbours and their distance in Å.
Sites, in units of the cell vectors:
Rb 0.0000 0.0000 0.0000  6 I 3.71-3.73
Rb 0.0000 0.5000 0.0000  6 I 3.71-3.73
Rb 0.5000 0.0000 0.0000  6 I 3.71-3.73
Ba 0.0000 0.0000 0.5000  6 I 3.46-3.47
In 0.0000 0.5000 0.5000  6 I 3.56-3.57
In 0.5000 0.0000 0.5000  6 I 3.56-3.57
In 0.5000 0.5000 0.5000  6 I 3.56-3.57
I 0.2380 0.2380 0.7274  1 Ba 3.46, 2 In 3.56, 2 Rb 3.73
I 0.2380 0.7514 0.7274  1 Ba 3.47, 2 In 3.56, 2 Rb 3.73
I 0.2486 0.7620 0.2726  1 Ba 3.47, 2 In 3.56, 2 Rb 3.73
I 0.2545 0.2545 0.2636  3 In 3.57, 3 Rb 3.71
I 0.7455 0.7455 0.7364  3 In 3.57, 3 Rb 3.71
I 0.7514 0.2380 0.7274  1 Ba 3.47, 2 In 3.56, 2 Rb 3.73
I 0.7620 0.2486 0.2726  1 Ba 3.47, 2 In 3.56, 2 Rb 3.73
I 0.7620 0.7620 0.2726  1 Ba 3.46, 2 In 3.56, 2 Rb 3.73

Calculated values
Formation energy (no corrections) = -16.9 eV/f.u.
Calculated volume = 51.4 Å³ per atom
SG = C2/m, No. 12



BAs: optimized geometry, PBE.

a b c (Å): 3.4068 3.4068 3.4068
angles (deg): 60.00 60.00 60.00
Last column: nearest neighbours and their distance in Å.
Sites, in units of the cell vectors:
B 0.0000 0.0000 0.0000  4 As 2.09
As 0.2500 0.2500 0.2500  4 B 2.09

Calculated values
DFT formation energy = -0.02 eV per atom
Calculated volume = 14.0 Å³ per atom
SG = F-43m, No. 216



HoErGe2: optimized geometry, PBE.

a b c (Å): 7.8603 7.8603 7.8603
angles (deg): 28.53 28.53 28.53
Last column: nearest neighbours and their distance in Å.
Sites, in units of the cell vectors:
Ho 0.0000 0.0000 0.0000  6 Ge 2.93
Er 0.5000 0.5000 0.5000  6 Ge 2.92
Ge 0.2497 0.2497 0.2497  3 Er 2.92, 3 Ho 2.93
Ge 0.7503 0.7503 0.7503  3 Er 2.92, 3 Ho 2.93

Calculated values
DFT formation energy = -0.64 eV per atom
Calculated volume = 24.5 Å³ per atom
SG = R-3m, No. 166



AgAs2Os: optimized geometry, PBE.

a b c (Å): 2.9995 3.9425 5.8439
angles (deg): 90.00 90.00 90.00
Last column: nearest neighbours and their distance in Å.
Sites, in units of the cell vectors:
Ag 0.0000 0.0000 0.0000  5 As 2.67-2.80
As 0.0000 0.0000 0.5439  4 Os 2.57, 1 Ag 2.67
As 0.5000 0.5000 0.2235  1 Os 2.56, 4 Ag 2.80
Os 0.5000 0.5000 0.6613  5 As 2.56-2.57

Calculated values
DFT formation energy = 0.43 eV per atom
Calculated volume = 17.3 Å³ per atom
SG = Pmm2, No. 25



Th2SiNi: optimized geometry, PBE.

a b c (Å): 5.9413 3.9573 8.2891
angles (deg): 90.00 110.14 90.00
Last column: nearest neighbours and their distance in Å.
Sites, in units of the cell vectors:
Th 0.2081 0.2500 0.4085  3 Ni 2.94-3.15, 4 Si 3.07-3.14
Th 0.2159 0.2500 0.9440  3 Ni 2.95-3.09, 3 Si 3.07-3.11
Th 0.7841 0.7500 0.0560  3 Ni 2.95-3.09, 3 Si 3.07-3.11
Th 0.7919 0.7500 0.5915  3 Ni 2.94-3.15, 4 Si 3.07-3.14
Si 0.3546 0.7500 0.7108  2 Ni 2.43
Si 0.6454 0.2500 0.2892  2 Ni 2.43
Ni 0.3934 0.7500 0.2231  2 Si 2.43
Ni 0.6066 0.2500 0.7769  2 Si 2.43

Calculated values
Formation energy (no corrections) = -2.4 eV/f.u.
Calculated volume = 22.9 Å³ per atom
SG = P2_1/m, No. 11



TiNbHg: optimized geometry, PBE.

a b c (Å): 3.3443 3.3443 10.1344
angles (deg): 90.00 90.00 90.00
Last column: nearest neighbours and their distance in Å.
Sites, in units of the cell vectors:
Ti 0.2500 0.2500 0.2287  5 Nb 2.81-3.11, 4 Hg 2.94
Ti 0.7500 0.7500 0.7713  5 Nb 2.81-3.11, 4 Hg 2.94
Nb 0.2500 0.2500 0.9216  5 Ti 2.81-3.11, 4 Nb 2.85
Nb 0.7500 0.7500 0.0784  5 Ti 2.81-3.11, 4 Nb 2.85
Hg 0.2500 0.2500 0.5988  4 Ti 2.94, 4 Hg 3.10, 1 Nb 3.27
Hg 0.7500 0.7500 0.4012  4 Ti 2.94, 4 Hg 3.10, 1 Nb 3.27

Calculated values
DFT formation energy = -0.05 eV per atom
Calculated volume = 18.9 Å³ per atom
SG = P4/nmm, No. 129